Below is an optimized crystal structure of Fe2ReTe, with properties calculated at the PBE level.

```
Fe2ReTe
1.0
-2.8601 -0.2430 -1.0964
1.1220 -0.5213 -2.8114
1.1963 -6.7121 -1.6332
Re Fe Te
1 2 1
Direct
0.5000 0.2500 0.2500
0.0000 0.9812 0.0187
0.0000 0.5188 0.4813
0.5000 0.7500 0.7500
```

Calculated values
Mass density   11.88 Mg/m³
Raw total energy   -30.7 eV per cell
E_form (uncorrected)   460 meV per atom

Below is an optimized crystal structure of Pm6Pr12Al, with properties calculated at the PBE level.

```
Pm6Pr12Al
1.0
8.6577 0.6111 0.7321
-0.7085 8.6503 0.7321
-0.7085 -0.8254 8.6419
Pm Pr Al
6 12 1
Direct
0.9022 0.2642 0.7405
0.7405 0.9022 0.2642
0.7358 0.2595 0.0978
0.2642 0.7405 0.9022
0.2595 0.0978 0.7358
0.0978 0.7358 0.2595
0.5477 0.2056 0.4818
0.4523 0.7944 0.5182
0.3693 0.0458 0.1565
0.7944 0.5182 0.4523
0.9542 0.8435 0.6307
0.5182 0.4523 0.7944
0.8435 0.6307 0.9542
0.6307 0.9542 0.8435
0.4818 0.5477 0.2056
0.0458 0.1565 0.3693
0.2056 0.4818 0.5477
0.1565 0.3693 0.0458
0.0000 0.0000 0.0000
```

Calculated values
Formation enthalpy at 0 K   77 meV/atom
Mass density   6.50 Mg/m³
Raw total energy   -88.1 eV per cell

Below is an optimized crystal structure of La2Pm3Sm6Pb, with properties calculated at the PBE level.

```
La2Pm3Sm6Pb
1.0
6.2499 -0.0031 0.0019
-3.1261 5.4119 0.0019
-1.0556 -1.8277 11.8416
La Pm Sm Pb
2 3 6 1
Direct
0.6664 0.3336 0.0000
0.3336 0.6664 0.0000
0.1684 0.8316 0.5000
0.5000 0.5000 0.5000
0.8316 0.1684 0.5000
0.7591 0.7591 0.2504
0.4074 0.0829 0.2489
0.9171 0.5926 0.7511
0.2409 0.2409 0.7496
0.0829 0.4074 0.2489
0.5926 0.9171 0.7511
0.0000 0.0000 0.0000
```

Calculated values
Formation enthalpy at 0 K   -77 meV/atom
Mass density   7.56 Mg/m³
Raw total energy   -57.1 eV per cell

Below is an optimized crystal structure of Ce3Sc2Sb3, with properties calculated at the PBE level.

```
Ce3Sc2Sb3
1.0
-0.4901 5.8696 -1.9320
-1.8929 -2.8766 -8.2594
-6.6030 1.3837 5.8789
Sc Sb Ce
4 6 6
Direct
0.5000 0.3333 0.6667
0.0000 0.3333 0.6667
0.5000 0.6667 0.3333
0.0000 0.6667 0.3333
0.2500 0.0000 0.4001
0.7500 0.5999 0.0000
0.7500 0.4001 0.4001
0.2500 0.4001 0.0000
0.7500 0.0000 0.5999
0.2500 0.5999 0.5999
0.7500 0.0000 0.2428
0.7500 0.2428 0.0000
0.2500 0.0000 0.7572
0.7500 0.7572 0.7572
0.2500 0.7572 0.0000
0.2500 0.2428 0.2428
```

Calculated values
Mass density   6.76 Mg/m³
Raw total energy   -98.1 eV per cell
E_form (uncorrected)   -780 meV per atom

Below is an optimized crystal structure of ScCdGaNi, with properties calculated at the PBE level.

```
ScCdGaNi
1.0
4.5730 0.0000 0.0000
2.2865 3.9603 0.0000
2.2865 1.3201 3.7338
Sc Ga Ni Cd
1 1 1 1
Direct
0.2500 0.2500 0.2500
0.5000 0.5000 0.5000
0.0000 0.0000 0.0000
0.7500 0.7500 0.7500
```

Calculated values
Formation enthalpy at 0 K   -300 meV/atom
Mass density   7.02 Mg/m³
Raw total energy   -17.3 eV per cell

Below is an optimized crystal structure of Pr3Pa4Rh8, with properties calculated at the PBE level.

```
Pr3Pa4Rh8
1.0
-3.1184 -7.9781 -4.3314
5.9699 -7.4036 -1.2969
-1.1830 -8.0643 5.0697
Pa Rh Pr
8 16 6
Direct
0.0000 0.5000 0.5000
0.0000 0.0000 0.5000
0.5000 0.5000 0.5000
0.5000 0.0000 0.0000
0.5000 0.5000 0.0000
0.5000 0.0000 0.5000
0.0000 0.5000 0.0000
0.0000 0.0000 0.0000
0.1220 0.1220 0.1220
0.3376 0.9871 0.3376
0.8780 0.3660 0.8780
0.6624 0.6624 0.6624
0.8780 0.8780 0.3660
0.0129 0.6624 0.6624
0.3376 0.3376 0.9871
0.6624 0.6624 0.0129
0.3376 0.3376 0.3376
0.9871 0.3376 0.3376
0.3660 0.8780 0.8780
0.1220 0.1220 0.6340
0.1220 0.6340 0.1220
0.6624 0.0129 0.6624
0.6340 0.1220 0.1220
0.8780 0.8780 0.8780
0.2722 0.7278 0.7278
0.7278 0.2722 0.7278
0.7278 0.7278 0.2722
0.2722 0.7278 0.2722
0.2722 0.2722 0.7278
0.7278 0.2722 0.2722
```

Calculated values
Formation enthalpy at 0 K   -512 meV/atom
Mass density   11.53 Mg/m³
Raw total energy   -237.6 eV per cell

Below is an optimized crystal structure of YNiHg2, with properties calculated at the PBE level.

```
YNiHg2
1.0
4.4644 0.0000 0.0000
0.0000 3.6811 0.0171
0.0000 1.5853 5.3367
Y Hg Ni
1 2 1
Direct
0.5000 0.7500 0.7500
0.0000 0.3916 0.4708
0.0000 0.1084 0.0292
0.5000 0.2500 0.2500
```

Calculated values
Formation enthalpy at 0 K   -112 meV/atom
Mass density   10.40 Mg/m³
Raw total energy   -13.3 eV per cell

Below is an optimized crystal structure of BeInRe2, with properties calculated at the PBE level.

```
BeInRe2
1.0
8.6728 -0.0026 -0.0015
8.2054 2.8088 -0.0015
8.2054 1.3642 2.4552
Be In Re
1 1 2
Direct
0.2500 0.2500 0.2500
0.7500 0.7500 0.7500
0.5103 0.5103 0.5103
0.9897 0.9897 0.9897
```

Calculated values
Formation enthalpy at 0 K   545 meV/atom
Mass density   13.76 Mg/m³
Raw total energy   -29.2 eV per cell

Below is an optimized crystal structure of Na2AgPb2, with properties calculated at the PBE level.

```
Na2AgPb2
1.0
7.3857 0.0000 0.0000
0.0000 7.3857 0.0000
0.0000 0.0000 4.9495
Pb Na Ag
4 4 2
Direct
0.8280 0.3280 0.5000
0.6720 0.8280 0.5000
0.3280 0.1720 0.5000
0.1720 0.6720 0.5000
0.6393 0.1393 0.0000
0.1393 0.3607 0.0000
0.8607 0.6393 0.0000
0.3607 0.8607 0.0000
0.0000 0.0000 0.0000
0.5000 0.5000 0.0000
```

Calculated values
Formation enthalpy at 0 K   102 meV/atom
Mass density   6.99 Mg/m³
Raw total energy   -24.8 eV per cell

Below is an optimized crystal structure of CeZn4Pd2, with properties calculated at the PBE level.

```
CeZn4Pd2
1.0
-3.8132 1.9410 -0.4673
-3.4161 -5.9491 3.1647
0.7812 3.1746 6.8109
Ce Pd Zn
2 4 8
Direct
0.0000 0.5000 0.5000
0.5000 0.0000 0.0000
0.0000 0.2240 0.7760
0.5000 0.7240 0.7240
0.0000 0.7760 0.2240
0.5000 0.2760 0.2760
0.0000 0.6483 0.9055
0.5000 0.1483 0.5945
0.0000 0.0945 0.3517
0.5000 0.4055 0.8517
0.0000 0.9055 0.6483
0.0000 0.3517 0.0945
0.5000 0.8517 0.4055
0.5000 0.5945 0.1483
```

Calculated values
Formation enthalpy at 0 K   -503 meV/atom
Mass density   8.31 Mg/m³
Raw total energy   -49.9 eV per cell

Below is an optimized crystal structure of FeAgIr, with properties calculated at the PBE level.

```
FeAgIr
1.0
7.3282 -0.0053 0.0034
6.6010 2.6049 0.0115
0.7272 -1.0858 2.3736
Ir Ag Fe
1 1 1
Direct
0.6773 0.6773 0.3227
0.9957 0.9957 0.0043
0.3270 0.3270 0.6730
```

Calculated values
Formation enthalpy at 0 K   290 meV/atom
Mass density   13.00 Mg/m³
Raw total energy   -19.3 eV per cell

Below is an optimized crystal structure of TmMn4Al12, with properties calculated at the PBE level.

```
TmMn4Al12
1.0
7.8713 0.0000 0.0000
-2.6238 7.4211 0.0000
-2.6238 -3.7106 6.4269
Mn Al Tm
4 12 1
Direct
0.0000 0.0000 0.5000
0.5000 0.5000 0.5000
0.0000 0.5000 0.0000
0.5000 0.0000 0.0000
0.7354 0.4699 0.7344
0.0010 0.2656 0.7354
0.7344 0.7354 0.4699
0.9990 0.7344 0.2646
0.7344 0.2646 0.9990
0.2646 0.9990 0.7344
0.4699 0.7344 0.7354
0.2646 0.5301 0.2656
0.2656 0.2646 0.5301
0.5301 0.2656 0.2646
0.2656 0.7354 0.0010
0.7354 0.0010 0.2656
0.0000 0.0000 0.0000
```

Calculated values
Formation enthalpy at 0 K   204 meV/atom
Mass density   3.15 Mg/m³
Raw total energy   -82.6 eV per cell